# Sb3HPb, optimized geometry, DFT PBE-GGA
# total magnetic moment = 0.8 μB/cell
# excess energy over the best structure of this formula in the dataset = 92.46 kJ/mol of atoms
data_Sb3HPb
_symmetry_space_group_name_H-M 'P m -3 m'
_symmetry_Int_Tables_number 221
_symmetry_space_group_name_Hall '-P 4 2 3'
_cell_length_a 5.892
_cell_length_b 5.892
_cell_length_c 5.892
_cell_angle_alpha 90.00
_cell_angle_beta 90.00
_cell_angle_gamma 90.00
loop_
_atom_site_label
_atom_site_fract_x
_atom_site_fract_y
_atom_site_fract_z
Sb1 0.000 0.000 0.500
H1 0.500 0.500 0.500
Pb1 0.000 0.000 0.000

# Nd2Sm6Tm, optimized geometry, DFT PBE-GGA
# total magnetic moment = 0.0 μB/cell
# excess energy over the best structure of this formula in the dataset = 0.00 kJ/mol of atoms
# formation energy = 0.05 eV/atom
data_Nd2Sm6Tm
_symmetry_space_group_name_H-M 'C m m m'
_symmetry_Int_Tables_number 65
_symmetry_space_group_name_Hall '-C 2 2'
_cell_length_a 9.885
_cell_length_b 17.189
_cell_length_c 3.545
_cell_angle_alpha 90.00
_cell_angle_beta 90.00
_cell_angle_gamma 90.00
loop_
_atom_site_label
_atom_site_fract_x
_atom_site_fract_y
_atom_site_fract_z
Nd1 0.000 0.167 0.000
Sm1 0.166 0.335 0.500
Sm2 0.170 0.000 0.500
Tm1 0.000 0.500 0.000

# Pr5Ga2Sn5, optimized geometry, DFT PBE-GGA
# total magnetic moment = 0.0 μB/cell
# formation energy = -0.68 eV/atom
data_Pr5Ga2Sn5
_symmetry_space_group_name_H-M 'C 1 2/m 1'
_symmetry_Int_Tables_number 12
_cell_length_a 16.264
_cell_length_b 4.517
_cell_length_c 12.077
_cell_angle_alpha 90.00
_cell_angle_beta 129.75
_cell_angle_gamma 90.00
loop_
_symmetry_equiv_pos_as_xyz
'x,y,z'
'-x,-y,-z'
'-x,y,-z'
'x,-y,z'
'x+1/2,y+1/2,z'
'-x+1/2,-y+1/2,-z'
'-x+1/2,y+1/2,-z'
'x+1/2,-y+1/2,z'
loop_
_atom_site_label
_atom_site_fract_x
_atom_site_fract_y
_atom_site_fract_z
Pr1 0.000 0.000 0.000
Pr2 0.113 0.000 0.425
Pr3 0.204 0.000 0.835
Ga1 0.138 0.500 0.252
Sn1 0.000 0.500 0.500
Sn2 0.063 0.500 0.845
Sn3 0.245 0.500 0.685

# Pm12Si6Ge, optimized geometry, DFT PBE-GGA
# total magnetic moment = 0.0 μB/cell
# ΔE_f (raw) = -0.540 eV per atom
data_Pm12Si6Ge
_symmetry_space_group_name_H-M 'I m -3'
_symmetry_Int_Tables_number 204
_symmetry_space_group_name_Hall '-I 2 2 3'
_cell_length_a 10.136
_cell_length_b 10.136
_cell_length_c 10.136
_cell_angle_alpha 90.00
_cell_angle_beta 90.00
_cell_angle_gamma 90.00
loop_
_atom_site_label
_atom_site_fract_x
_atom_site_fract_y
_atom_site_fract_z
Pm1 0.000 0.188 0.294
Si1 0.000 0.385 0.500
Ge1 0.000 0.000 0.000

# CrAsW, optimized geometry, DFT PBE-GGA
# total magnetic moment = 0.0 μB/cell
# excess energy over the best structure of this formula in the dataset = 34.38 kJ/mol of atoms
# formation energy = 0.59 eV/atom
data_CrAsW
_symmetry_space_group_name_H-M 'F -4 3 m'
_symmetry_Int_Tables_number 216
_symmetry_space_group_name_Hall 'F -4 2 3'
_cell_length_a 5.894
_cell_length_b 5.894
_cell_length_c 5.894
_cell_angle_alpha 90.00
_cell_angle_beta 90.00
_cell_angle_gamma 90.00
loop_
_atom_site_label
_atom_site_fract_x
_atom_site_fract_y
_atom_site_fract_z
Cr1 0.000 0.000 0.000
As1 0.000 0.000 0.500
W1 0.250 0.250 0.250

# CsKNaHg2, optimized geometry, DFT PBE-GGA
# total magnetic moment = 0.0 μB/cell
# excess energy over the best structure of this formula in the dataset = 10.09 kJ/mol of atoms
# formation energy = -0.04 eV/atom
data_CsKNaHg2
_symmetry_space_group_name_H-M 'P 4/m m m'
_symmetry_Int_Tables_number 123
_symmetry_space_group_name_Hall '-P 4 2'
_cell_length_a 6.099
_cell_length_b 6.099
_cell_length_c 6.352
_cell_angle_alpha 90.00
_cell_angle_beta 90.00
_cell_angle_gamma 90.00
loop_
_atom_site_label
_atom_site_fract_x
_atom_site_fract_y
_atom_site_fract_z
Cs1 0.000 0.000 0.000
K1 0.500 0.500 0.000
Na1 0.500 0.500 0.500
Hg1 0.000 0.500 0.500

# AcDy2Ni, optimized geometry, DFT PBE-GGA
# total magnetic moment = 0.0 μB/cell
# excess energy over the best structure of this formula in the dataset = 0.00 kJ/mol of atoms
# formation energy = -0.13 eV/atom
data_AcDy2Ni
_symmetry_space_group_name_H-M 'P 4/m m m'
_symmetry_Int_Tables_number 123
_symmetry_space_group_name_Hall '-P 4 2'
_cell_length_a 3.536
_cell_length_b 3.536
_cell_length_c 9.013
_cell_angle_alpha 90.00
_cell_angle_beta 90.00
_cell_angle_gamma 90.00
loop_
_atom_site_label
_atom_site_fract_x
_atom_site_fract_y
_atom_site_fract_z
Ac1 0.000 0.000 0.000
Dy1 0.500 0.500 0.325
Ni1 0.000 0.000 0.500

# PmYAgRh, optimized geometry, DFT PBE-GGA
# total magnetic moment = 0.0 μB/cell
# excess energy over the best structure of this formula in the dataset = 0.00 kJ/mol of atoms
# formation energy = -0.54 eV/atom
data_PmYAgRh
_symmetry_space_group_name_H-M 'P 4 m m'
_symmetry_Int_Tables_number 99
_cell_length_a 3.566
_cell_length_b 3.566
_cell_length_c 7.246
_cell_angle_alpha 90.00
_cell_angle_beta 90.00
_cell_angle_gamma 90.00
loop_
_symmetry_equiv_pos_as_xyz
'x,y,z'
'-y,x,z'
'-x,-y,z'
'y,-x,z'
'-x,y,z'
'y,x,z'
'x,-y,z'
'-y,-x,z'
loop_
_atom_site_label
_atom_site_fract_x
_atom_site_fract_y
_atom_site_fract_z
Pm1 0.000 0.000 0.000
Y1 0.000 0.000 0.540
Ag1 0.500 0.500 0.283
Rh1 0.500 0.500 0.764

# TaMnCo3, optimized geometry, DFT PBE-GGA
# total magnetic moment = 3.1 μB/cell
# excess energy over the best structure of this formula in the dataset = 0.00 kJ/mol of atoms
# formation energy = 0.38 eV/atom
data_TaMnCo3
_symmetry_space_group_name_H-M 'C m c m'
_symmetry_Int_Tables_number 63
_symmetry_space_group_name_Hall '-C 2c 2'
_cell_length_a 5.651
_cell_length_b 9.797
_cell_length_c 4.607
_cell_angle_alpha 90.00
_cell_angle_beta 90.00
_cell_angle_gamma 90.00
loop_
_atom_site_label
_atom_site_fract_x
_atom_site_fract_y
_atom_site_fract_z
Ta1 0.000 0.167 0.250
Mn1 0.000 0.500 0.000
Co1 0.000 0.301 0.750
Co2 0.202 0.099 0.750

# Fe4CoRh2, optimized geometry, DFT PBE-GGA
# total magnetic moment = 30.5 μB/cell
# formation energy = 0.15 eV/atom
data_Fe4CoRh2
_symmetry_space_group_name_H-M 'I 4/m m m'
_symmetry_Int_Tables_number 139
_symmetry_space_group_name_Hall '-I 4 2'
_cell_length_a 4.058
_cell_length_b 4.058
_cell_length_c 11.667
_cell_angle_alpha 90.00
_cell_angle_beta 90.00
_cell_angle_gamma 90.00
loop_
_atom_site_label
_atom_site_fract_x
_atom_site_fract_y
_atom_site_fract_z
Fe1 0.000 0.500 0.110
Co1 0.000 0.000 0.000
Rh1 0.000 0.000 0.251

# Be3NiN, optimized geometry, DFT PBE-GGA
# total magnetic moment = 0.0 μB/cell
# excess energy over the best structure of this formula in the dataset = 148.34 kJ/mol of atoms
# ΔE_f (raw) = 1.385 eV per atom
data_Be3NiN
_symmetry_space_group_name_H-M 'P m -3 m'
_symmetry_Int_Tables_number 221
_symmetry_space_group_name_Hall '-P 4 2 3'
_cell_length_a 3.874
_cell_length_b 3.874
_cell_length_c 3.874
_cell_angle_alpha 90.00
_cell_angle_beta 90.00
_cell_angle_gamma 90.00
loop_
_atom_site_label
_atom_site_fract_x
_atom_site_fract_y
_atom_site_fract_z
Be1 0.000 0.000 0.500
Ni1 0.000 0.000 0.000
N1 0.500 0.500 0.500

# Sr2CdIn2, optimized geometry, DFT PBE-GGA
# total magnetic moment = 0.0 μB/cell
# excess energy over the best structure of this formula in the dataset = 28.44 kJ/mol of atoms
# formation energy = -0.11 eV/atom
data_Sr2CdIn2
_symmetry_space_group_name_H-M 'I 4/m m m'
_symmetry_Int_Tables_number 139
_symmetry_space_group_name_Hall '-I 4 2'
_cell_length_a 6.560
_cell_length_b 6.560
_cell_length_c 8.772
_cell_angle_alpha 90.00
_cell_angle_beta 90.00
_cell_angle_gamma 90.00
loop_
_atom_site_label
_atom_site_fract_x
_atom_site_fract_y
_atom_site_fract_z
Sr1 0.000 0.500 0.250
Cd1 0.000 0.000 0.000
In1 0.000 0.000 0.341

# Ba2SrP2O8, optimized geometry, DFT PBE-GGA
# total magnetic moment = 0.0 μB/cell
# ΔE_f (raw) = -2.865 eV per atom
data_Ba2SrP2O8
_symmetry_space_group_name_H-M 'R -3 m'
_symmetry_Int_Tables_number 166
_symmetry_space_group_name_Hall '-R 3 2"'
_cell_length_a 5.6186
_cell_length_b 5.6186
_cell_length_c 21.0528
_cell_angle_alpha 90.00
_cell_angle_beta 90.00
_cell_angle_gamma 120.00
loop_
_atom_site_label
_atom_site_fract_x
_atom_site_fract_y
_atom_site_fract_z
Ba1 0.0000 0.0000 0.2084
Sr1 0.0000 0.0000 0.0000
P1 0.0000 0.0000 0.4036
O1 0.0000 0.0000 0.3305
O2 0.0298 0.5149 0.2380